{"formula": "Rb2MnIF6", "functional": "PBE+U", "state": "optimized geometry", "lattice_angstrom": [[-3.550, 3.550, 4.317], [3.550, -3.550, 4.317], [3.550, 3.550, -4.317]], "species": ["Rb", "Rb", "Mn", "I", "F", "F", "F", "F", "F", "F"], "frac_coords": [[0.250, 0.750, 0.500], [0.750, 0.250, 0.500], [0.000, 0.000, 0.000], [0.500, 0.500, 0.000], [0.187, 0.187, 0.374], [0.187, 0.813, 0.000], [0.254, 0.254, 0.000], [0.746, 0.746, 0.000], [0.813, 0.187, 0.000], [0.813, 0.813, 0.626]], "total_energy_ev_per_atom": -4.484}